(1)
A relaxed structure of NbSnRu3. Source: the Alexandria database, functional PBE.

Unit cell a=4.717 b=4.717 c=4.717 alpha=90.00 beta=90.00 gamma=90.00
Positions (direct):
Nb 0.000 0.000 0.000
Sn 0.500 0.500 0.500
Ru 0.000 0.500 0.500
Ru 0.500 0.000 0.500
Ru 0.500 0.500 0.000

DOS at the Fermi energy: 0.4723 states/eV per atom
energy of formation from the pure elements: 1.716 eV/atom
energy above the lowest structure with this stoichiometry: 407 meV/atom
total magnetization: 0.198 μB per atom
calculated volume: 104.9 Å³/f.u.



(2)
A relaxed structure of NbSn2Ru. Source: the Alexandria database, functional PBE.

Unit cell a=10.227 b=10.227 c=10.227 alpha=156.78 beta=156.78 gamma=33.08
Positions (direct):
Nb 0.000 0.000 0.000
Nb 0.750 0.250 0.500
Sn 0.133 0.625 0.008
Sn 0.375 0.383 0.508
Sn 0.617 0.125 0.992
Sn 0.875 0.867 0.492
Ru 0.250 0.750 0.500
Ru 0.500 0.500 0.000

DOS at the Fermi energy: 1.3959 states/eV per atom
energy of formation from the pure elements: 0.424 eV/atom
energy above the lowest structure with this stoichiometry: 299 meV/atom
total magnetization: 0.000 μB per atom
calculated volume: 83.1 Å³/f.u.



(3)
A relaxed structure of NbSn3Ru4. Source: the Alexandria database, functional PBE.

Unit cell a=7.177 b=7.177 c=7.177 alpha=142.95 beta=142.95 gamma=53.41
Positions (direct):
Nb 0.000 0.000 0.000
Sn 0.247 0.247 0.000
Sn 0.500 0.500 0.000
Sn 0.753 0.753 0.000
Ru 0.123 0.623 0.500
Ru 0.377 0.877 0.500
Ru 0.623 0.123 0.500
Ru 0.877 0.377 0.500

DOS at the Fermi energy: 0.7976 states/eV per atom
energy of formation from the pure elements: -0.152 eV/atom
total magnetization: 0.001 μB per atom
calculated volume: 133.4 Å³/f.u.



> Among the records above, which one has the highest DOS at the Fermi energy?

NbSn2Ru